## MgSc2N (GGA-PBE)

Data for a relaxed MgSc2N crystal.

Lattice parameters (Å, degrees): 6.5193 6.5193 6.5193 90.00 90.00 90.00
Last column: nearest neighbours and their distance in Å.
Space group Fm-3m (No. 225)
Asymmetric unit:
1 Mg 0.0000 0.0000 0.0000  8 Sc 2.82
2 Sc 0.2500 0.2500 0.2500  4 Mg 2.82, 4 N 2.82
3 N 0.0000 0.0000 0.5000  8 Sc 2.82

Summary:
- excess energy over the best structure of this formula in the dataset (meV/atom) = 1533
- magnetization (Bohr magnetons per cell) = 0.01
- E (eV/cell) = -81.17
- energy relative to the elements, uncorrected (eV/atom) = 0.57

---

## Ac2AlCd4Ag3 (GGA-PBE)

Data for a relaxed Ac2AlCd4Ag3 crystal.

Lattice parameters (Å, degrees): 4.5383 4.5383 12.3507 90.00 90.00 90.00
Last column: nearest neighbours and their distance in Å.
Space group P-4m2 (No. 115)
Asymmetric unit:
1 Ac 0.0000 0.5000 0.2454  6 Ag 3.48-3.79, 8 Cd 3.51-3.88, 2 Al 3.79
2 Al 0.5000 0.5000 0.0000  4 Cd 2.79
3 Cd 0.0000 0.0000 0.5000  4 Ag 2.89, 4 Cd 3.21
4 Cd 0.0000 0.5000 0.8689  3 Ag 2.77-2.79, 2 Al 2.79
5 Cd 0.5000 0.5000 0.5000  4 Ag 2.89, 4 Cd 3.21
6 Ag 0.0000 0.0000 0.0000  4 Cd 2.79
7 Ag 0.0000 0.5000 0.6446  5 Cd 2.77-2.89

Summary:
- magnetization (Bohr magnetons per cell) = 0.00
- E (eV/cell) = -26.53
- E_form (eV/f.u.) = -2.35

---

## Sr2LiS2 (GGA-PBE)

Data for a relaxed Sr2LiS2 crystal.

Lattice parameters (Å, degrees): 5.5519 5.5519 11.9258 90.00 90.00 90.00
Last column: nearest neighbours and their distance in Å.
Space group I4/mmm (No. 139)
Asymmetric unit:
1 Sr 0.0000 0.0000 0.1858  4 S 2.88
2 Li 0.0000 0.0000 0.5000  2 Sr 3.75, 8 S 4.07
3 S 0.0000 0.5000 0.2500  4 Sr 2.88

Summary:
- excess energy over the best structure of this formula in the dataset (meV/atom) = 345
- magnetization (Bohr magnetons per cell) = 0.00
- E (eV/cell) = -38.73
- energy relative to the elements, uncorrected (eV/atom) = -1.17

---

## GdNi4Pt (GGA-PBE)

Data for a relaxed GdNi4Pt crystal.

Lattice parameters (Å, degrees): 6.9536 6.9536 6.9536 90.00 90.00 90.00
Last column: nearest neighbours and their distance in Å.
Space group F-43m (No. 216)
Asymmetric unit:
1 Gd 0.0000 0.0000 0.0000  12 Ni 2.89, 4 Pt 3.01
2 Ni 0.1237 0.1237 0.3763  6 Ni 2.43-2.48
3 Pt 0.2500 0.2500 0.7500  12 Ni 2.88, 4 Gd 3.01

Summary:
- magnetization (Bohr magnetons per cell) = 33.70
- E (eV/cell) = -181.65
- E_form (eV/f.u.) = -2.17

---

## CsTmHgTe3 (GGA-PBE)

Data for a relaxed CsTmHgTe3 crystal.

Lattice parameters (Å, degrees): 10.0296 4.5282 11.2147 90.00 111.35 90.00
Last column: nearest neighbours and their distance in Å.
Space group P2_1/m (No. 11)
Asymmetric unit:
1 Cs 0.2224 0.2500 0.2553  7 Te 3.85-4.04
2 Tm 0.3303 0.7500 0.8654  6 Te 3.01-3.23
3 Hg 0.0821 0.2500 0.6141  4 Te 2.81-3.04
4 Te 0.1202 0.2500 0.8747  1 Hg 2.81, 2 Tm 3.12
5 Te 0.2325 0.7500 0.5571  3 Hg 2.92-3.04, 1 Tm 3.23
6 Te 0.4718 0.7500 0.1526  3 Tm 3.01-3.07

Summary:
- magnetization (Bohr magnetons per cell) = 0.00
- E (eV/cell) = -41.55
- energy relative to the elements, uncorrected (eV/atom) = -0.95

---

## TeAs2SeCl (GGA-PBE)

Data for a relaxed TeAs2SeCl crystal.

Lattice parameters (Å, degrees): 5.4511 5.4511 5.3004 90.00 90.00 90.00
Last column: nearest neighbours and their distance in Å.
Space group P4/mmm (No. 123)
Asymmetric unit:
1 Te 0.0000 0.0000 0.0000  2 Se 2.65, 4 As 2.73
2 As 0.0000 0.5000 0.0000  2 Te 2.73
3 Se 0.0000 0.0000 0.5000  2 Te 2.65
4 Cl 0.5000 0.5000 0.5000  8 As 3.80, 4 Se 3.85

Summary:
- excess energy over the best structure of this formula in the dataset (meV/atom) = 0
- magnetization (Bohr magnetons per cell) = 1.04
- E (eV/cell) = -13.46
- energy relative to the elements, uncorrected (eV/atom) = 0.86

---

## SbRuPt2 (GGA-PBE)

Data for a relaxed SbRuPt2 crystal.

Lattice parameters (Å, degrees): 3.4114 3.4114 5.7747 90.00 90.00 90.00
Last column: nearest neighbours and their distance in Å.
Space group P4mm (No. 99)
Asymmetric unit:
1 Sb 0.0000 0.0000 0.0000  4 Ru 2.81, 6 Pt 2.85-2.93
2 Ru 0.5000 0.5000 0.7511  6 Pt 2.75-3.03, 4 Sb 2.81
3 Pt 0.0000 0.0000 0.5068  4 Pt 2.76, 4 Ru 2.79, 2 Sb 2.85-2.93
4 Pt 0.5000 0.5000 0.2755  2 Ru 2.75-3.03, 4 Pt 2.76, 4 Sb 2.89

Summary:
- magnetization (Bohr magnetons per cell) = 0.00
- E (eV/cell) = -25.17
- energy relative to the elements, uncorrected (eV/atom) = 0.08

---

## MgCuO2 (GGA-PBE)

Data for a relaxed MgCuO2 crystal.

Lattice parameters (Å, degrees): 7.5769 2.8899 7.6087 90.00 96.27 90.00
Last column: nearest neighbours and their distance in Å.
Space group P2_1/m (No. 11)
Asymmetric unit:
1 Mg 0.0423 0.2500 0.1733  6 O 2.05-2.21
2 Mg 0.3162 0.2500 0.9325  6 O 2.06-2.21
3 Cu 0.1883 0.7500 0.5570  4 O 1.97-2.01
4 Cu 0.3992 0.7500 0.2836  4 O 1.97-2.04
5 O 0.1159 0.2500 0.7091  2 Cu 1.97, 3 Mg 2.14-2.15
6 O 0.1667 0.7500 0.0397  5 Mg 2.05-2.14
7 O 0.2574 0.2500 0.3940  4 Cu 2.01-2.04, 1 Mg 2.21
8 O 0.4823 0.7500 0.8340  2 Cu 1.97, 2 Mg 2.11

Summary:
- magnetization (Bohr magnetons per cell) = 0.07
- E (eV/cell) = -87.43
- energy relative to the elements, uncorrected (eV/atom) = -1.56